1.
# NpTlGe, optimized geometry, DFT GGA-PBE
data_NpTlGe
_symmetry_space_group_name_H-M 'F -4 3 m'
_symmetry_Int_Tables_number 216
_symmetry_space_group_name_Hall 'F -4 2 3'
_cell_length_a 6.8448
_cell_length_b 6.8448
_cell_length_c 6.8448
_cell_angle_alpha 90.00
_cell_angle_beta 90.00
_cell_angle_gamma 90.00
loop_
_atom_site_label
_atom_site_type_symbol
_atom_site_fract_x
_atom_site_fract_y
_atom_site_fract_z
Np1 Np 0.0000 0.0000 0.0000
Tl1 Tl 0.0000 0.0000 0.5000
Ge1 Ge 0.2500 0.2500 0.2500
# distance to the lowest polymorph of the same formula = 0 meV per atom
# crystal system = cubic

***

2.
# ZnBiSb2, optimized geometry, DFT GGA-PBE
data_ZnBiSb2
_symmetry_space_group_name_H-M 'F -4 3 m'
_symmetry_Int_Tables_number 216
_symmetry_space_group_name_Hall 'F -4 2 3'
_cell_length_a 7.4960
_cell_length_b 7.4960
_cell_length_c 7.4960
_cell_angle_alpha 90.00
_cell_angle_beta 90.00
_cell_angle_gamma 90.00
loop_
_atom_site_label
_atom_site_type_symbol
_atom_site_fract_x
_atom_site_fract_y
_atom_site_fract_z
Zn1 Zn 0.0000 0.0000 0.0000
Bi1 Bi 0.2500 0.2500 0.7500
Sb1 Sb 0.0000 0.0000 0.5000
Sb2 Sb 0.2500 0.2500 0.2500
# final energy = -3.15 eV per atom
# crystal system = cubic

***

3.
# AgPb, optimized geometry, DFT GGA-PBE
data_AgPb
_symmetry_space_group_name_H-M 'F m -3 m'
_symmetry_Int_Tables_number 225
_symmetry_space_group_name_Hall '-F 4 2 3'
_cell_length_a 5.9375
_cell_length_b 5.9375
_cell_length_c 5.9375
_cell_angle_alpha 90.00
_cell_angle_beta 90.00
_cell_angle_gamma 90.00
loop_
_atom_site_label
_atom_site_type_symbol
_atom_site_fract_x
_atom_site_fract_y
_atom_site_fract_z
Ag1 Ag 0.0000 0.0000 0.0000
Pb1 Pb 0.0000 0.0000 0.5000
# final energy = -3.05 eV per atom
# crystal system = cubic